No. 1
## Ho5Mg (PBE-GGA)

Data for crystalline Ho5Mg at its relaxed geometry.

Cell: 7.8341 7.8341 4.8918 Å, 90.00 90.00 143.50°
Last column: nearest neighbours and their distance in Å.
Positions (direct):
Ho (0.0000, 0.0000, 0.0000)  4 Mg 3.46, 8 Ho 3.47-3.52
Ho (0.1654, 0.8346, 0.5000)  10 Ho 3.46-3.52, 2 Mg 3.47
Ho (0.3308, 0.6692, 0.0000)  10 Ho 3.44-3.52, 2 Mg 3.51
Ho (0.6692, 0.3308, 0.0000)  10 Ho 3.44-3.52, 2 Mg 3.51
Ho (0.8346, 0.1654, 0.5000)  10 Ho 3.46-3.52, 2 Mg 3.47
Mg (0.5000, 0.5000, 0.5000)  12 Ho 3.46-3.51

## Properties
- formation energy (eV per atom) = 0.01
- volume (Å³ per cell) = 178.59
- excess energy over the best structure of this formula in the dataset (eV per atom) = 0.0042
- spin magnetization (μB/cell) = 0.00
- space-group type = No. 65

=====

No. 2
## NaCa3Ac2Se6 (PBE-GGA)

Data for crystalline NaCa3Ac2Se6 at its relaxed geometry.

Cell: 9.6802 9.6802 8.6910 Å, 103.46 103.46 25.85°
Last column: nearest neighbours and their distance in Å.
Positions (direct):
Na (0.0000, 0.0000, 0.0000)  6 Se 3.13
Ca (0.0000, 0.0000, 0.5000)  6 Se 3.01-3.03
Ca (0.3362, 0.3362, 0.1661)  6 Se 2.94-3.04
Ca (0.6638, 0.6638, 0.8339)  6 Se 2.94-3.04
Ac (0.3380, 0.3380, 0.6754)  6 Se 3.03-3.17
Ac (0.6620, 0.6620, 0.3246)  6 Se 3.03-3.17
Se (0.1651, 0.1651, 0.5910)  3 Ca 3.03, 3 Ac 3.16-3.17
Se (0.1705, 0.1705, 0.0733)  3 Ca 2.98-3.04, 2 Ac 3.11, 1 Na 3.13
Se (0.4967, 0.4967, 0.2579)  3 Ca 2.94-3.01, 1 Ac 3.03, 2 Na 3.13
Se (0.5033, 0.5033, 0.7421)  3 Ca 2.94-3.01, 1 Ac 3.03, 2 Na 3.13
Se (0.8295, 0.8295, 0.9267)  3 Ca 2.98-3.04, 2 Ac 3.11, 1 Na 3.13
Se (0.8349, 0.8349, 0.4090)  3 Ca 3.03, 3 Ac 3.16-3.17

## Properties
- volume (Å³ per cell) = 344.86
- spin magnetization (μB/cell) = 0.00
- space-group type = No. 12
- E_form (uncorrected) (eV per atom) = -1.87

=====

No. 3
## SrPuTlCd (PBE-GGA)

Data for crystalline SrPuTlCd at its relaxed geometry.

Cell: 5.5809 5.5809 5.5809 Å, 60.00 60.00 60.00°
Last column: nearest neighbours and their distance in Å.
Positions (direct):
Sr (0.0000, 0.0000, 0.0000)  4 Tl 3.42, 4 Cd 3.42
Pu (0.5000, 0.5000, 0.5000)  4 Tl 3.42, 4 Cd 3.42
Tl (0.7500, 0.7500, 0.7500)  4 Sr 3.42, 4 Pu 3.42
Cd (0.2500, 0.2500, 0.2500)  4 Pu 3.42, 4 Sr 3.42

## Properties
- formation energy (eV per atom) = -0.11
- volume (Å³ per cell) = 122.91
- spin magnetization (μB/cell) = 5.67
- space-group type = No. 216